Entry from Alexandria via LeMat-Bulk: a relaxed structure of Sm3CuHg (PBE-GGA).

## Properties
uncorrected energy	-3.80	eV/atom
SG	P1 (1)
energy of formation	-0.09	eV/atom
excess energy over the best structure of this formula in the dataset	136	meV/atom
total magnetic moment	0.000	μB/f.u.

Unit cell a=3.866 b=9.160 c=9.165 alpha=64.75 beta=89.53 gamma=89.54
Element x y z (fractional)
Cu1 0.377 0.233 0.724
Sm1 0.865 0.631 0.064
Hg1 0.840 0.175 0.226
Sm2 0.873 0.388 0.844
Sm3 0.865 0.011 0.684
Sm4 0.332 0.334 0.386
Sm5 0.873 0.792 0.440
Hg2 0.369 0.706 0.759
Sm6 0.362 0.000 0.052
Cu2 0.376 0.672 0.286